Compound: TlVF4
Source: Alexandria via LeMat-Bulk
Functional: GGA+U
Structure: optimized geometry

Values from the calculation:
- N(E_F) (states/eV/f.u.) = 2.8
- calculated total energy (eV/atom) = -5.35

a b c (Å): 5.4326 5.4326 6.6392
angles (deg): 90.00 90.00 90.00
Closest atoms and distances in Å follow each position.
Space group P4/mbm (No. 127)
Asymmetric unit:
Tl1 0.0000 0.5000 0.0000 [2 per cell]  8 F 3.05
V1 0.0000 0.0000 0.5000 [2 per cell]  6 F 1.94-1.98
F1 0.0000 0.0000 0.2075 [4 per cell]  1 V 1.94
F2 0.1856 0.3144 0.5000 [4 per cell]  2 V 1.98